1.
Below is a relaxed CrIn2Au crystal, with properties calculated at the PBE-GGA level.

The mass density is 9.98 g cm⁻³. The total energy comes out at -70.8 eV/cell.

The space group is Fm-3m (No. 225) and the conventional cell measures 6.829, 6.829 and 6.829 Å, with angles of 90.00, 90.00 and 90.00 degrees. The distinct sites, in fractional coordinates, are Cr at (0.000, 0.000, 0.000), In at (0.250, 0.250, 0.250) and Au at (0.000, 0.000, 0.500).


2.
Below is a relaxed UHgTe2 crystal, with properties calculated at the PBE-GGA level.

The mass density is 7.38 g cm⁻³. The calculation puts the uncorrected formation energy at -0.419 eV/atom.

The space group is R3m (No. 160, hexagonal axes) and the conventional cell measures 4.2674, 4.2674 and 29.6931 Å, with angles of 90.00, 90.00 and 120.00 degrees. The distinct sites, in fractional coordinates, are U at (0.0000, 0.0000, 0.0000), Hg at (0.0000, 0.0000, 0.8287), Te at (0.0000, 0.0000, 0.3938) and Te at (0.0000, 0.0000, 0.6063).


3.
Below is a relaxed Al2Ga2Te crystal, with properties calculated at the PBE-GGA level.

The mass density is 5.15 g cm⁻³. The calculation puts the uncorrected formation energy at 0.070 eV/atom.

The space group is I4/mmm (No. 139) and the conventional cell measures 3.803, 3.803 and 14.302 Å, with angles of 90.00, 90.00 and 90.00 degrees. The distinct sites, in fractional coordinates, are Al at (0.000, 0.000, 0.105), Ga at (0.000, 0.500, 0.250) and Te at (0.000, 0.000, 0.500).


4.
Below is a relaxed YTe2HI crystal, with properties calculated at the PBE-GGA level.

The mass density is 3.66 g cm⁻³. The total energy comes out at -17.6 eV/cell.

The space group is P4/mmm (No. 123) and the conventional cell measures 5.931, 5.931 and 6.089 Å, with angles of 90.00, 90.00 and 90.00 degrees. The distinct sites, in fractional coordinates, are Y at (0.000, 0.000, 0.000), Te at (0.000, 0.500, 0.000), H at (0.500, 0.500, 0.500) and I at (0.000, 0.000, 0.500).


5.
Below is a relaxed Li2IrCl crystal, with properties calculated at the PBE-GGA level.

The mass density is 6.59 g cm⁻³. The calculation puts the uncorrected formation energy at -0.207 eV/atom.

The space group is Cm (No. 8) and the conventional cell measures 9.968, 2.754 and 4.574 Å, with angles of 90.00, 104.19 and 90.00 degrees. The distinct sites, in fractional coordinates, are Li at (0.000, 0.000, 0.000), Li at (0.185, 0.000, 0.624), Ir at (0.251, 0.500, 0.154) and Cl at (0.447, 0.000, 0.510).


6.
Below is a relaxed TaHg2Sb crystal, with properties calculated at the PBE-GGA level.

The mass density is 12.07 g cm⁻³. The calculation puts the uncorrected formation energy at 0.254 eV/atom.

The space group is R3m (No. 160, hexagonal axes) and the conventional cell measures 3.1320, 3.1320 and 34.2018 Å, with angles of 90.00, 90.00 and 120.00 degrees. The distinct sites, in fractional coordinates, are Ta at (0.0000, 0.0000, 0.0000), Hg at (0.0000, 0.0000, 0.2608), Hg at (0.0000, 0.0000, 0.5069) and Sb at (0.0000, 0.0000, 0.7345).


7.
Below is a relaxed LaHOs3 crystal, with properties calculated at the PBE-GGA level.

The mass density is 16.11 g cm⁻³. The total energy comes out at -39.0 eV/cell.

The space group is Pm-3m (No. 221) and the conventional cell measures 4.184, 4.184 and 4.184 Å, with angles of 90.00, 90.00 and 90.00 degrees. The distinct sites, in fractional coordinates, are La at (0.000, 0.000, 0.000), H at (0.500, 0.500, 0.500) and Os at (0.000, 0.500, 0.500).


8.
Below is a relaxed Ba6Ag3I14 crystal, with properties calculated at the PBE-GGA level.

The mass density is 5.01 g cm⁻³. The calculation puts the uncorrected formation energy at -1.343 eV/atom.

The space group is P3 (No. 143) and the conventional cell measures 12.4929, 12.4929 and 7.1747 Å, with angles of 90.00, 90.00 and 120.00 degrees. The distinct sites, in fractional coordinates, are Ba at (0.0337, 0.4742, 0.0000), Ba at (0.3013, 0.1919, 0.5048), Ag at (0.0000, 0.0000, 0.1079), Ag at (0.3333, 0.6667, 0.6035), Ag at (0.6667, 0.3333, 0.7426), I at (0.0000, 0.0000, 0.7111), I at (0.0918, 0.2450, 0.2495), I at (0.1792, 0.7574, 0.7466), I at (0.3333, 0.6667, 0.2074), I at (0.4042, 0.2315, 0.9943) and I at (0.5063, 0.0688, 0.4762).